No. 1
{
  "formula": "PmHoZnOs",
  "functional": "PBE",
  "state": "optimized geometry",
  "formation_enthalpy_0k_kj_per_mol_atoms": -20.3,
  "cell": [[-3.471, -0.419, -3.525], [-2.829, -4.073, -0.227], [-4.809, 0.247, 1.209]],
  "species": ["Os", "Ho", "Zn", "Pm"],
  "frac_coords": [[0.500, 0.500, 0.500], [0.750, 0.750, 0.750], [0.000, 0.000, 0.000], [0.250, 0.250, 0.250]]
}

No. 2
{
  "formula": "TiVPd4",
  "functional": "PBE",
  "state": "optimized geometry",
  "de_polymorph_mev_per_atom": 76.8,
  "formation_enthalpy_0k_kj_per_mol_atoms": -30.1,
  "cell": [[-0.602, 0.035, -4.867], [-5.983, -1.171, 3.293], [2.253, 6.360, 0.958]],
  "species": ["Pd", "Pd", "Pd", "Pd", "Pd", "Pd", "Pd", "Pd", "V", "V", "Ti", "Ti"],
  "frac_coords": [[0.756, 0.706, 0.624], [0.050, 0.180, 0.767], [0.368, 0.918, 0.624], [0.217, 0.588, 0.767], [0.632, 0.082, 0.376], [0.244, 0.294, 0.376], [0.783, 0.412, 0.233], [0.950, 0.820, 0.233], [0.751, 0.001, 0.001], [0.249, 0.999, 0.999], [0.661, 0.411, 0.822], [0.339, 0.589, 0.178]]
}

No. 3
{
  "formula": "Tm5SnRh",
  "functional": "PBE",
  "state": "optimized geometry",
  "formation_enthalpy_0k_kj_per_mol_atoms": -33.1,
  "cell": [[-4.546, 1.003, -4.347], [-4.118, -4.778, -0.888], [-9.017, 2.843, 5.866]],
  "species": ["Sn", "Sn", "Tm", "Tm", "Tm", "Tm", "Tm", "Tm", "Tm", "Tm", "Tm", "Tm", "Rh", "Rh"],
  "frac_coords": [[0.533, 0.467, 0.750], [0.467, 0.533, 0.250], [0.967, 0.595, 0.142], [0.540, 0.215, 0.043], [0.030, 0.970, 0.750], [0.460, 0.785, 0.957], [0.970, 0.030, 0.250], [0.033, 0.405, 0.858], [0.405, 0.033, 0.358], [0.595, 0.967, 0.642], [0.785, 0.460, 0.457], [0.215, 0.540, 0.543], [0.000, 0.000, 0.000], [0.000, 0.000, 0.500]]
}

No. 4
{
  "formula": "ThTlP2S8",
  "functional": "PBE",
  "state": "optimized geometry",
  "raw_formation_energy_mev_per_atom": -536,
  "cell": [[-0.375, -3.611, -5.002], [-4.439, -4.283, -0.394], [-7.279, 3.626, -5.891]],
  "species": ["S", "S", "S", "S", "S", "S", "S", "S", "Th", "P", "P", "Tl"],
  "frac_coords": [[0.309, 0.940, 0.177], [0.691, 0.060, 0.823], [0.940, 0.573, 0.177], [0.180, 0.180, 0.460], [0.427, 0.691, 0.823], [0.060, 0.427, 0.823], [0.820, 0.820, 0.540], [0.573, 0.309, 0.177], [0.000, 0.000, 0.000], [0.251, 0.251, 0.246], [0.749, 0.749, 0.754], [0.500, 0.500, 0.500]]
}

No. 5
{
  "formula": "TaIn2Br",
  "functional": "PBE",
  "state": "optimized geometry",
  "de_polymorph_mev_per_atom": 5.8,
  "raw_formation_energy_mev_per_atom": 127,
  "cell": [[-0.766, 1.698, -5.595], [-2.888, -0.547, -5.112], [-3.892, 3.700, 0.097]],
  "species": ["In", "In", "Ta", "Br"],
  "frac_coords": [[0.990, 0.990, 0.030], [0.784, 0.784, 0.678], [0.523, 0.523, 0.538], [0.203, 0.203, 0.254]]
}

No. 6
{
  "formula": "ThSi6",
  "functional": "PBE",
  "state": "optimized geometry",
  "raw_formation_energy_mev_per_atom": 227,
  "cell": [[5.716, 0.000, 0.000], [-1.905, 5.389, 0.000], [-1.905, -2.695, 4.667]],
  "species": ["Si", "Si", "Si", "Si", "Si", "Si", "Th"],
  "frac_coords": [[0.750, 0.250, 0.500], [0.500, 0.750, 0.250], [0.250, 0.750, 0.500], [0.500, 0.250, 0.750], [0.250, 0.500, 0.750], [0.750, 0.500, 0.250], [0.000, 0.000, 0.000]]
}